Entry 1:
VASP calculation (PBE-GGA) on a relaxed structure of FeP2W.

The size of the total moment comes out at 0.83 μB per formula unit. The value obtained for the energy relative to the elements is -0.150 eV per atom. As for the crystal system: orthorhombic.

It has space group Pmm2 (No. 25), with a = 2.923 Å, b = 4.348 Å, c = 4.079 Å, α = 90.00°, β = 90.00° and γ = 90.00°. The inequivalent atoms are Fe at (0.000, 0.000, 0.000), P at (0.000, 0.500, 0.768), P at (0.500, 0.000, 0.530) and W at (0.500, 0.500, 0.255).

=====

Entry 2:
VASP calculation (PBE-GGA) on a relaxed structure of FeP2W.

The size of the total moment comes out at 0.00 μB per formula unit. The value obtained for the energy relative to the elements is -0.100 eV per atom. As for the crystal system: cubic.

It has space group Fm-3m (No. 225), with a = 5.829 Å, b = 5.829 Å, c = 5.829 Å, α = 90.00°, β = 90.00° and γ = 90.00°. The inequivalent atoms are Fe at (0.000, 0.000, 0.000), P at (0.250, 0.250, 0.250) and W at (0.000, 0.000, 0.500).

=====

Entry 3:
VASP calculation (PBE-GGA) on a relaxed structure of FeP2W.

The size of the total moment comes out at 1.38 μB per formula unit. The value obtained for the energy relative to the elements is 0.002 eV per atom. As for the crystal system: trigonal.

It has space group R-3m (No. 166, hexagonal axes), with a = 2.9064 Å, b = 2.9064 Å, c = 21.5391 Å, α = 90.00°, β = 90.00° and γ = 120.00°. The inequivalent atoms are Fe at (0.0000, 0.0000, 0.0000), P at (0.0000, 0.0000, 0.2555) and W at (0.0000, 0.0000, 0.5000).

=====

Entry 4:
VASP calculation (PBE-GGA) on a relaxed structure of FeP4W.

The size of the total moment comes out at 2.23 μB per formula unit. The value obtained for the energy relative to the elements is 0.847 eV per atom. As for the crystal system: cubic. For the energy above the most stable polymorph in this dataset, the calculation gives 0.972 eV/atom.

It has space group F-43m (No. 216), with a = 6.884 Å, b = 6.884 Å, c = 6.884 Å, α = 90.00°, β = 90.00° and γ = 90.00°. The inequivalent atoms are Fe at (0.000, 0.000, 0.000), P at (0.125, 0.125, 0.625) and W at (0.250, 0.250, 0.250).

=====

Entry 5:
VASP calculation (PBE-GGA) on a relaxed structure of FePW.

The size of the total moment comes out at 0.00 μB per formula unit. The value obtained for the energy relative to the elements is 0.127 eV per atom. As for the crystal system: orthorhombic.

It has space group Imm2 (No. 44), with a = 2.807 Å, b = 3.799 Å, c = 7.277 Å, α = 90.00°, β = 90.00° and γ = 90.00°. The inequivalent atoms are Fe at (0.000, 0.000, 0.000), P at (0.000, 0.000, 0.677) and W at (0.000, 0.000, 0.343).

=====

Entry 6:
VASP calculation (PBE-GGA) on a relaxed structure of FePW2.

The size of the total moment comes out at 0.00 μB per formula unit. The value obtained for the energy relative to the elements is 0.068 eV per atom. As for the crystal system: tetragonal.

It has space group P4mm (No. 99), with a = 2.780 Å, b = 2.780 Å, c = 6.973 Å, α = 90.00°, β = 90.00° and γ = 90.00°. The inequivalent atoms are Fe at (0.000, 0.000, 0.000), P at (0.500, 0.500, 0.171), W at (0.000, 0.000, 0.420) and W at (0.500, 0.500, 0.729).

=====

Entry 7:
VASP calculation (PBE-GGA) on a relaxed structure of FePW.

The size of the total moment comes out at 0.00 μB per formula unit. The value obtained for the energy relative to the elements is -0.427 eV per atom. As for the crystal system: monoclinic.

It has space group P2_1/m (No. 11), with a = 5.847 Å, b = 3.733 Å, c = 10.098 Å, α = 90.00°, β = 90.34° and γ = 90.00°. The inequivalent atoms are Fe at (0.017, 0.250, 0.089), Fe at (0.140, 0.250, 0.457), Fe at (0.365, 0.750, 0.790), P at (0.234, 0.250, 0.914), P at (0.234, 0.750, 0.582), P at (0.268, 0.250, 0.251), W at (0.027, 0.250, 0.713), W at (0.349, 0.750, 0.080) and W at (0.469, 0.750, 0.382).

=====

Entry 8:
VASP calculation (PBE-GGA) on a relaxed structure of FePW.

The size of the total moment comes out at 0.00 μB per formula unit. The value obtained for the energy relative to the elements is -0.132 eV per atom. As for the crystal system: hexagonal.

It has space group P-6m2 (No. 187), with a = 3.9353 Å, b = 3.9353 Å, c = 2.7814 Å, α = 90.00°, β = 90.00° and γ = 120.00°. The inequivalent atoms are Fe at (0.0000, 0.0000, 0.0000), P at (0.6667, 0.3333, 0.0000) and W at (0.3333, 0.6667, 0.5000).

=====

Entry 9:
VASP calculation (PBE-GGA) on a relaxed structure of FeP2W.

The size of the total moment comes out at 0.00 μB per formula unit. The value obtained for the energy relative to the elements is 0.213 eV per atom. As for the crystal system: tetragonal.

It has space group I-42d (No. 122), with a = 5.344 Å, b = 5.344 Å, c = 9.742 Å, α = 90.00°, β = 90.00° and γ = 90.00°. The inequivalent atoms are Fe at (0.000, 0.000, 0.000), P at (0.218, 0.250, 0.125) and W at (0.000, 0.000, 0.500).

=====

Entry 10:
VASP calculation (PBE-GGA) on a relaxed structure of FeP2W.

The size of the total moment comes out at 0.00 μB per formula unit. The value obtained for the energy relative to the elements is -0.105 eV per atom. As for the crystal system: tetragonal.

It has space group P4/mmm (No. 123), with a = 4.102 Å, b = 4.102 Å, c = 2.946 Å, α = 90.00°, β = 90.00° and γ = 90.00°. The inequivalent atoms are Fe at (0.000, 0.000, 0.000), P at (0.000, 0.500, 0.500) and W at (0.500, 0.500, 0.000).

=====

Entry 11:
VASP calculation (PBE-GGA) on a relaxed structure of FePW2.

The size of the total moment comes out at 0.45 μB per formula unit. The value obtained for the energy relative to the elements is 0.030 eV per atom. As for the crystal system: tetragonal.

It has space group P4mm (No. 99), with a = 3.138 Å, b = 3.138 Å, c = 5.601 Å, α = 90.00°, β = 90.00° and γ = 90.00°. The inequivalent atoms are Fe at (0.000, 0.000, 0.000), P at (0.500, 0.500, 0.260), W at (0.000, 0.000, 0.474) and W at (0.500, 0.500, 0.799).

=====

Entry 12:
VASP calculation (PBE-GGA) on a relaxed structure of FePW2.

The size of the total moment comes out at 0.00 μB per formula unit. The value obtained for the energy relative to the elements is 0.041 eV per atom. As for the crystal system: tetragonal.

It has space group P4/mmm (No. 123), with a = 2.872 Å, b = 2.872 Å, c = 6.521 Å, α = 90.00°, β = 90.00° and γ = 90.00°. The inequivalent atoms are Fe at (0.000, 0.000, 0.000), P at (0.000, 0.000, 0.500) and W at (0.500, 0.500, 0.262).

=====

Entry 13:
VASP calculation (PBE-GGA) on a relaxed structure of FeP2W.

The size of the total moment comes out at 1.92 μB per formula unit. The value obtained for the energy relative to the elements is -0.232 eV per atom. As for the crystal system: tetragonal.

It has space group P4mm (No. 99), with a = 3.147 Å, b = 3.147 Å, c = 5.214 Å, α = 90.00°, β = 90.00° and γ = 90.00°. The inequivalent atoms are Fe at (0.000, 0.000, 0.000), P at (0.000, 0.000, 0.446), P at (0.500, 0.500, 0.147) and W at (0.500, 0.500, 0.646).

=====

Entry 14:
VASP calculation (PBE-GGA) on a relaxed structure of FePW2.

The size of the total moment comes out at 1.92 μB per formula unit. The value obtained for the energy relative to the elements is 0.285 eV per atom. As for the crystal system: trigonal.

It has space group R-3m (No. 166, hexagonal axes), with a = 2.8646 Å, b = 2.8646 Å, c = 24.0955 Å, α = 90.00°, β = 90.00° and γ = 120.00°. The inequivalent atoms are Fe at (0.0000, 0.0000, 0.0000), P at (0.0000, 0.0000, 0.5000) and W at (0.0000, 0.0000, 0.2464).

=====

Entry 15:
VASP calculation (PBE-GGA) on a relaxed structure of Fe4PW.

The size of the total moment comes out at 6.62 μB per formula unit. The value obtained for the energy relative to the elements is 0.262 eV per atom. As for the crystal system: cubic.

It has space group F-43m (No. 216), with a = 6.632 Å, b = 6.632 Å, c = 6.632 Å, α = 90.00°, β = 90.00° and γ = 90.00°. The inequivalent atoms are Fe at (0.125, 0.125, 0.125), P at (0.250, 0.250, 0.750) and W at (0.000, 0.000, 0.500).

=====

Entry 16:
VASP calculation (PBE-GGA) on a relaxed structure of FeP2W.

The size of the total moment comes out at 0.53 μB per formula unit. The value obtained for the energy relative to the elements is 0.009 eV per atom. As for the crystal system: monoclinic.

It has space group C2/m (No. 12), with a = 7.112 Å, b = 2.961 Å, c = 5.015 Å, α = 90.00°, β = 102.35° and γ = 90.00°. The inequivalent atoms are Fe at (0.000, 0.000, 0.000), P at (0.246, 0.500, 0.215) and W at (0.000, 0.500, 0.500).

=====

Entry 17:
VASP calculation (PBE-GGA) on a relaxed structure of FeP2W.

The size of the total moment comes out at 0.00 μB per formula unit. The value obtained for the energy relative to the elements is -0.299 eV per atom. As for the crystal system: orthorhombic.

It has space group Imm2 (No. 44), with a = 3.152 Å, b = 3.192 Å, c = 10.438 Å, α = 90.00°, β = 90.00° and γ = 90.00°. The inequivalent atoms are Fe at (0.000, 0.000, 0.000), P at (0.000, 0.000, 0.569), P at (0.000, 0.500, 0.844) and W at (0.000, 0.500, 0.247).

=====

Entry 18:
VASP calculation (PBE-GGA) on a relaxed structure of FeP2W.

The size of the total moment comes out at 2.22 μB per formula unit. The value obtained for the energy relative to the elements is 0.451 eV per atom. As for the crystal system: cubic.

It has space group F-43m (No. 216), with a = 5.985 Å, b = 5.985 Å, c = 5.985 Å, α = 90.00°, β = 90.00° and γ = 90.00°. The inequivalent atoms are Fe at (0.000, 0.000, 0.000), P at (0.000, 0.000, 0.500), P at (0.250, 0.250, 0.250) and W at (0.250, 0.250, 0.750).

=====

Entry 19:
VASP calculation (PBE-GGA) on a relaxed structure of FePW.

The size of the total moment comes out at 0.70 μB per formula unit. The value obtained for the energy relative to the elements is -0.083 eV per atom. As for the crystal system: tetragonal.

It has space group I4mm (No. 107), with a = 2.842 Å, b = 2.842 Å, c = 9.262 Å, α = 90.00°, β = 90.00° and γ = 90.00°. The inequivalent atoms are Fe at (0.000, 0.000, 0.000), P at (0.000, 0.000, 0.624) and W at (0.000, 0.000, 0.304).

=====

Entry 20:
VASP calculation (PBE-GGA) on a relaxed structure of Fe2PW2.

The size of the total moment comes out at 0.00 μB per formula unit. The value obtained for the energy relative to the elements is 0.043 eV per atom. As for the crystal system: tetragonal.

It has space group P4/mbm (No. 127), with a = 5.529 Å, b = 5.529 Å, c = 4.277 Å, α = 90.00°, β = 90.00° and γ = 90.00°. The inequivalent atoms are Fe at (0.146, 0.354, 0.000), P at (0.000, 0.000, 0.000) and W at (0.171, 0.671, 0.500).